The following is a DFT calculation (PBE) of an optimized crystal structure of K2Rb2In.

## Properties
**Polymorph energy (0 for the lowest one)**: 106.6 meV per atom
**Space-group type**: P4/mbm, No. 127
**Energy relative to the elements**: 0.106 eV/atom
**D(E_F)**: 1.176 states/eV per atom

abc: 9.4972 9.4972 7.1157
angles: 90.00 90.00 90.00
With the nearest neighbours (Å) after each atom.
Element x y z (fractional)
K1 0.1528 0.3472 0.0000  2 In 3.60
K2 0.3472 0.8472 0.0000  2 In 3.60
K3 0.6528 0.1528 0.0000  2 In 3.60
K4 0.8472 0.6528 0.0000  2 In 3.60
Rb1 0.1862 0.6862 0.5000  2 K 4.16
Rb2 0.3138 0.1862 0.5000  2 K 4.16
Rb3 0.6862 0.8138 0.5000  2 K 4.16
Rb4 0.8138 0.3138 0.5000  2 K 4.16
In1 0.0000 0.0000 0.0000  4 K 3.60
In2 0.5000 0.5000 0.0000  4 K 3.60